! Ta2RuAuSe (PBE-GGA, relaxed); values from VASP
&SYSTEM
  ibrav = 0, nat = 5, ntyp = 4
/
ATOMIC_SPECIES
Ta 180.95 Ta.upf
Ru 101.07 Ru.upf
Au 196.97 Au.upf
Se 78.96 Se.upf
CELL_PARAMETERS angstrom
4.7075 0.0000 0.0000
0.0000 4.7075 0.0000
0.0000 0.0000 4.4876
ATOMIC_POSITIONS angstrom
Ta 0.0000 2.3538 0.0000
Ta 2.3538 0.0000 0.0000
Ru 0.0000 0.0000 2.2438
Au 2.3538 2.3538 2.2438
Se 0.0000 0.0000 0.0000
! * crystal system: tetragonal
! * total magnetization: 0.00 μB/f.u.
! * DOS at the Fermi energy: 5.22 states/eV/f.u.
! * uncorrected formation energy: 0.857 eV per atom



! Th4RuAuSe2 (PBE-GGA, relaxed); values from VASP
&SYSTEM
  ibrav = 0, nat = 8, ntyp = 4
/
ATOMIC_SPECIES
Th 232.04 Th.upf
Ru 101.07 Ru.upf
Au 196.97 Au.upf
Se 78.96 Se.upf
CELL_PARAMETERS angstrom
7.2322 0.0000 0.0000
0.0000 4.1769 0.0000
-2.3681 0.0000 7.2812
ATOMIC_POSITIONS angstrom
Th 1.1284 0.0000 1.6356
Th -0.1162 2.0885 5.5826
Th 4.9803 2.0885 1.6985
Th 3.7358 0.0000 5.6455
Ru 0.0000 2.0885 0.0000
Au 3.6161 0.0000 0.0000
Se -1.1840 0.0000 3.6406
Se 2.4321 2.0885 3.6406
! * crystal system: monoclinic
! * total magnetization: 0.00 μB/f.u.
! * DOS at the Fermi energy: 6.78 states/eV/f.u.
! * uncorrected formation energy: -1.035 eV per atom



! Th8Ru3AuSe4 (PBE-GGA, relaxed); values from VASP
&SYSTEM
  ibrav = 0, nat = 16, ntyp = 4
/
ATOMIC_SPECIES
Th 232.04 Th.upf
Ru 101.07 Ru.upf
Au 196.97 Au.upf
Se 78.96 Se.upf
CELL_PARAMETERS angstrom
4.1390 2.3897 7.3410
-4.1390 2.3897 7.3410
0.0000 -4.7793 7.3410
ATOMIC_POSITIONS angstrom
Th -2.1650 -1.2500 12.6228
Th 0.0000 0.0000 5.2739
Th 0.0000 -2.4999 9.4001
Th -2.1650 1.2500 9.4001
Th 2.1650 -1.2500 12.6228
Th 0.0000 2.4999 12.6228
Th 0.0000 0.0000 16.7489
Th 2.1650 1.2500 9.4000
Ru -4.1390 0.0000 11.0114
Ru -2.0695 1.1948 3.6705
Ru 2.0695 1.1948 3.6705
Au 0.0000 0.0000 11.0114
Se 0.0000 0.0000 0.0000
Se -2.0695 -1.1948 7.3410
Se -2.0695 1.1948 14.6819
Se 0.0000 2.3897 7.3410
! * crystal system: trigonal
! * total magnetization: 0.00 μB/f.u.
! * DOS at the Fermi energy: 11.26 states/eV/f.u.
! * uncorrected formation energy: -1.050 eV per atom



! ZnRuAu2Se (PBE-GGA, relaxed); values from VASP
&SYSTEM
  ibrav = 0, nat = 5, ntyp = 4
/
ATOMIC_SPECIES
Zn 65.41 Zn.upf
Ru 101.07 Ru.upf
Au 196.97 Au.upf
Se 78.96 Se.upf
CELL_PARAMETERS angstrom
4.9644 0.0000 0.0000
0.0000 4.9644 0.0000
0.0000 0.0000 4.6436
ATOMIC_POSITIONS angstrom
Zn 0.0000 0.0000 0.0000
Ru 2.4822 2.4822 0.0000
Au 0.0000 2.4822 2.3218
Au 2.4822 0.0000 2.3218
Se 2.4822 2.4822 2.3218
! * crystal system: tetragonal
! * total magnetization: 1.55 μB/f.u.
! * DOS at the Fermi energy: 3.99 states/eV/f.u.
! * uncorrected formation energy: 0.841 eV per atom



! SiRuAu2 (PBE-GGA, relaxed); values from VASP
&SYSTEM
  ibrav = 0, nat = 4, ntyp = 3
/
ATOMIC_SPECIES
Si 28.09 Si.upf
Ru 101.07 Ru.upf
Au 196.97 Au.upf
CELL_PARAMETERS angstrom
-1.4704 1.9203 5.9537
1.4704 -1.9203 5.9537
1.4704 1.9203 -5.9537
ATOMIC_POSITIONS angstrom
Si 0.0000 0.0000 0.0000
Ru 0.0000 0.0000 5.9537
Au 1.4704 0.0000 2.1929
Au 0.0000 1.9203 3.7608
! * crystal system: orthorhombic
! * total magnetization: 0.26 μB/f.u.
! * DOS at the Fermi energy: 1.87 states/eV/f.u.
! * uncorrected formation energy: 0.011 eV per atom



! SiRuAu2 (PBE-GGA, relaxed); values from VASP
&SYSTEM
  ibrav = 0, nat = 4, ntyp = 3
/
ATOMIC_SPECIES
Si 28.09 Si.upf
Ru 101.07 Ru.upf
Au 196.97 Au.upf
CELL_PARAMETERS angstrom
3.0195 0.0000 0.0000
0.0000 3.0195 0.0000
0.0000 0.0000 6.9435
ATOMIC_POSITIONS angstrom
Si 0.0000 0.0000 0.0000
Ru 1.5097 1.5097 5.8617
Au 0.0000 0.0000 3.8351
Au 1.5097 1.5097 1.8041
! * crystal system: tetragonal
! * total magnetization: 0.00 μB/f.u.
! * DOS at the Fermi energy: 1.64 states/eV/f.u.
! * uncorrected formation energy: -0.061 eV per atom



! SiRuAu2 (PBE-GGA, relaxed); values from VASP
&SYSTEM
  ibrav = 0, nat = 4, ntyp = 3
/
ATOMIC_SPECIES
Si 28.09 Si.upf
Ru 101.07 Ru.upf
Au 196.97 Au.upf
CELL_PARAMETERS angstrom
3.5689 0.0000 0.0000
0.0000 1.4730 6.1197
0.0000 -1.4730 6.1197
ATOMIC_POSITIONS angstrom
Si 0.0000 0.0000 0.0000
Ru 1.7844 0.0000 5.3563
Au 0.0000 0.0000 9.6276
Au 1.7844 0.0000 1.8202
! * crystal system: orthorhombic
! * total magnetization: 0.00 μB/f.u.
! * DOS at the Fermi energy: 1.60 states/eV/f.u.
! * uncorrected formation energy: -0.101 eV per atom



! SiRu2Au (PBE-GGA, relaxed); values from VASP
&SYSTEM
  ibrav = 0, nat = 4, ntyp = 3
/
ATOMIC_SPECIES
Si 28.09 Si.upf
Ru 101.07 Ru.upf
Au 196.97 Au.upf
CELL_PARAMETERS angstrom
-1.9369 1.9369 3.8656
1.9369 -1.9369 3.8656
1.9369 1.9369 -3.8656
ATOMIC_POSITIONS angstrom
Si 0.0000 0.0000 0.0000
Ru 0.0000 0.0000 3.8656
Ru 0.0000 1.9369 1.9328
Au 1.9369 0.0000 1.9328
! * crystal system: tetragonal
! * total magnetization: 0.00 μB/f.u.
! * DOS at the Fermi energy: 3.69 states/eV/f.u.
! * uncorrected formation energy: 0.184 eV per atom



! SiRuAu2 (PBE-GGA, relaxed); values from VASP
&SYSTEM
  ibrav = 0, nat = 8, ntyp = 3
/
ATOMIC_SPECIES
Si 28.09 Si.upf
Ru 101.07 Ru.upf
Au 196.97 Au.upf
CELL_PARAMETERS angstrom
-1.8646 1.8646 9.8498
1.8646 -1.8646 9.8498
1.8646 1.8646 -9.8498
ATOMIC_POSITIONS angstrom
Si 0.0000 0.0000 0.0000
Si 0.0000 1.8646 4.9249
Ru 1.8646 0.0000 4.9249
Ru 0.0000 0.0000 9.8498
Au 2.7969 0.9298 -2.4624
Au 0.9298 0.9323 2.4624
Au -0.9323 0.9348 7.3873
Au 0.9348 0.9323 12.3122
! * crystal system: tetragonal
! * total magnetization: 0.46 μB/f.u.
! * DOS at the Fermi energy: 3.54 states/eV/f.u.
! * uncorrected formation energy: 0.338 eV per atom



! SiRu2Au (PBE-GGA, relaxed); values from VASP
&SYSTEM
  ibrav = 0, nat = 4, ntyp = 3
/
ATOMIC_SPECIES
Si 28.09 Si.upf
Ru 101.07 Ru.upf
Au 196.97 Au.upf
CELL_PARAMETERS angstrom
0.0000 3.0955 3.0955
3.0955 0.0000 3.0955
3.0955 3.0955 0.0000
ATOMIC_POSITIONS angstrom
Si 0.0000 0.0000 0.0000
Ru 3.0955 3.0955 3.0955
Ru 4.6432 4.6432 4.6432
Au 1.5477 1.5477 1.5477
! * crystal system: cubic
! * total magnetization: 0.00 μB/f.u.
! * DOS at the Fermi energy: 4.13 states/eV/f.u.
! * uncorrected formation energy: 0.353 eV per atom



! SiRuAu2 (PBE-GGA, relaxed); values from VASP
&SYSTEM
  ibrav = 0, nat = 4, ntyp = 3
/
ATOMIC_SPECIES
Si 28.09 Si.upf
Ru 101.07 Ru.upf
Au 196.97 Au.upf
CELL_PARAMETERS angstrom
0.0000 3.1675 3.1675
3.1675 0.0000 3.1675
3.1675 3.1675 0.0000
ATOMIC_POSITIONS angstrom
Si 0.0000 0.0000 0.0000
Ru 4.7512 4.7512 4.7512
Au 1.5837 1.5837 1.5837
Au 3.1675 3.1675 3.1675
! * crystal system: cubic
! * total magnetization: 0.44 μB/f.u.
! * DOS at the Fermi energy: 3.33 states/eV/f.u.
! * uncorrected formation energy: 0.263 eV per atom



! SiRu2Au (PBE-GGA, relaxed); values from VASP
&SYSTEM
  ibrav = 0, nat = 4, ntyp = 3
/
ATOMIC_SPECIES
Si 28.09 Si.upf
Ru 101.07 Ru.upf
Au 196.97 Au.upf
CELL_PARAMETERS angstrom
2.9331 0.0000 0.0000
0.0000 2.9331 0.0000
0.0000 0.0000 6.7006
ATOMIC_POSITIONS angstrom
Si 0.0000 0.0000 0.0000
Ru 1.4665 1.4665 1.3702
Ru 1.4665 1.4665 5.3304
Au 0.0000 0.0000 3.3503
! * crystal system: tetragonal
! * total magnetization: 0.00 μB/f.u.
! * DOS at the Fermi energy: 3.72 states/eV/f.u.
! * uncorrected formation energy: -0.158 eV per atom



Copy entry 6 word for word.
! SiRuAu2 (PBE-GGA, relaxed); values from VASP
&SYSTEM
  ibrav = 0, nat = 4, ntyp = 3
/
ATOMIC_SPECIES
Si 28.09 Si.upf
Ru 101.07 Ru.upf
Au 196.97 Au.upf
CELL_PARAMETERS angstrom
3.0195 0.0000 0.0000
0.0000 3.0195 0.0000
0.0000 0.0000 6.9435
ATOMIC_POSITIONS angstrom
Si 0.0000 0.0000 0.0000
Ru 1.5097 1.5097 5.8617
Au 0.0000 0.0000 3.8351
Au 1.5097 1.5097 1.8041
! * crystal system: tetragonal
! * total magnetization: 0.00 μB/f.u.
! * DOS at the Fermi energy: 1.64 states/eV/f.u.
! * uncorrected formation energy: -0.061 eV per atom